No. 1
{
  "formula": "InTcP2",
  "functional": "GGA-PBE",
  "state": "optimized geometry",
  "dft_energy_ev_per_atom": -5.898,
  "space_group": "P4mm (99)",
  "lattice": [[3.0593, 0.0000, 0.0000], [0.0000, 3.0593, 0.0000], [0.0000, 0.0000, 7.3342]],
  "species": ["In", "Tc", "P", "P"],
  "fractional_positions": [[0.0000, 0.0000, 0.0000], [0.5000, 0.5000, 0.7055], [0.0000, 0.0000, 0.5583], [0.5000, 0.5000, 0.3654]]
}

No. 2
{
  "formula": "InTc2P",
  "functional": "GGA-PBE",
  "state": "optimized geometry",
  "dft_energy_ev_per_atom": -7.308,
  "space_group": "P4/mmm (123)",
  "lattice": [[2.9887, 0.0000, 0.0000], [0.0000, 2.9887, 0.0000], [0.0000, 0.0000, 6.8417]],
  "species": ["In", "Tc", "Tc", "P"],
  "fractional_positions": [[0.0000, 0.0000, 0.0000], [0.5000, 0.5000, 0.3041], [0.5000, 0.5000, 0.6959], [0.0000, 0.0000, 0.5000]]
}

No. 3
{
  "formula": "InTcP2",
  "functional": "GGA-PBE",
  "state": "optimized geometry",
  "dft_energy_ev_per_atom": -5.539,
  "space_group": "Cmmm (65)",
  "lattice": [[5.5300, 0.0000, 0.0000], [0.0000, 7.0979, 0.0000], [0.0000, 0.0000, 3.2689]],
  "species": ["In", "In", "Tc", "Tc", "P", "P", "P", "P"],
  "fractional_positions": [[0.0000, 0.0000, 0.0000], [0.5000, 0.5000, 0.0000], [0.0000, 0.5000, 0.0000], [0.5000, 0.0000, 0.0000], [0.2500, 0.2500, 0.5000], [0.2500, 0.7500, 0.5000], [0.7500, 0.2500, 0.5000], [0.7500, 0.7500, 0.5000]]
}

| no. | size of the total moment (μB/f.u.) |
| --- | --- |
| 1 | 0.0 |
| 2 | 0.0 |
| 3 | 0.0 |